TmSiPb after structural relaxation, computed with PBE.

Size of the total moment   0.0 μB/cell
Energy relative to the elements, uncorrected   -0.46 eV per atom
DFT total energy   -29.96 eV per cell

Cell: 9.764 9.764 3.753 Å, 90.00 90.00 155.91°
Positions (direct):
Tm 0.082 0.918 0.750
Tm 0.918 0.082 0.250
Si 0.462 0.538 0.750
Si 0.538 0.462 0.250
Pb 0.308 0.692 0.750
Pb 0.692 0.308 0.250